1.
CaPu2Tc | GGA-PBE | relaxed

Calculated values
* formation energy: 127 meV/atom

Cell: 3.3155 3.3155 9.3214 Å, 90.00 90.00 90.00°
With the nearest neighbours (Å) after each atom.
Element x y z (fractional)
Ca: 0.0000 0.0000 0.0000  4 Ca 3.32
Pu: 0.5000 0.5000 0.3134  4 Tc 2.92
Pu: 0.5000 0.5000 0.6866  4 Tc 2.92
Tc: 0.0000 0.0000 0.5000  8 Pu 2.92

2.
ScMnW | GGA-PBE | relaxed

Calculated values
* energy above the most stable polymorph in this dataset: 0.265 eV per atom
* formation energy: 231 meV/atom

Cell: 4.3325 4.3325 2.8991 Å, 90.00 90.00 120.00°
With the nearest neighbours (Å) after each atom.
Element x y z (fractional)
Sc: 0.0000 0.0000 0.0000  3 Mn 2.70, 3 W 2.76, 2 Sc 2.90
Mn: 0.3333 0.6667 0.6462  3 W 2.60, 3 Sc 2.70, 2 Mn 2.90
W: 0.6667 0.3333 0.4036  3 Mn 2.60, 3 Sc 2.76, 2 W 2.90

3.
MnIrRh2S8 | GGA-PBE | relaxed

Calculated values
* energy relative to the elements, uncorrected: -402 meV/atom

Cell: 4.6852 7.1861 5.6375 Å, 90.00 90.52 90.00°
With the nearest neighbours (Å) after each atom.
Element x y z (fractional)
Mn: 0.0000 0.0000 0.0000  6 S 2.26
Ir: 0.0000 0.5000 0.0000  6 S 2.36-2.38
Rh: 0.5000 0.2449 0.5000  6 S 2.37-2.40
Rh: 0.5000 0.7551 0.5000  6 S 2.37-2.40
S: 0.1941 0.0000 0.6344  1 Mn 2.26, 1 S 2.36, 2 Rh 2.40
S: 0.2044 0.5000 0.6195  1 S 2.33, 1 Ir 2.36, 2 Rh 2.40
S: 0.2786 0.2389 0.1200  1 Mn 2.26, 1 Rh 2.37, 1 Ir 2.38, 1 S 2.49
S: 0.2786 0.7611 0.1200  1 Mn 2.26, 1 Rh 2.37, 1 Ir 2.38, 1 S 2.49
S: 0.7214 0.2389 0.8800  1 Mn 2.26, 1 Rh 2.37, 1 Ir 2.38, 1 S 2.49
S: 0.7214 0.7611 0.8800  1 Mn 2.26, 1 Rh 2.37, 1 Ir 2.38, 1 S 2.49
S: 0.7956 0.5000 0.3805  1 S 2.33, 1 Ir 2.36, 2 Rh 2.40
S: 0.8059 0.0000 0.3656  1 Mn 2.26, 1 S 2.36, 2 Rh 2.40

4.
Rb3CdAg3Cl8 | GGA-PBE | relaxed

Calculated values
* energy relative to the elements, uncorrected: -1145 meV/atom

Cell: 8.4432 8.4432 8.7763 Å, 118.44 118.44 58.19°
With the nearest neighbours (Å) after each atom.
Element x y z (fractional)
Rb: 0.0000 0.0000 0.0000  6 Cl 3.25-3.28
Rb: 0.0000 0.5000 0.0000  6 Cl 3.25-3.29
Rb: 0.5000 0.0000 0.0000  6 Cl 3.25-3.29
Cd: 0.0000 0.0000 0.5000  6 Cl 2.68-2.73
Ag: 0.0000 0.5000 0.5000  6 Cl 2.75-3.00
Ag: 0.5000 0.0000 0.5000  6 Cl 2.75-3.00
Ag: 0.5000 0.5000 0.5000  6 Cl 2.80-2.96
Cl: 0.2204 0.2204 0.6889  1 Cd 2.73, 2 Ag 2.82
Cl: 0.2319 0.7515 0.6990  1 Cd 2.68, 2 Ag 2.80-3.00
Cl: 0.2485 0.7681 0.3010  1 Cd 2.68, 2 Ag 2.80-3.00
Cl: 0.2609 0.2609 0.3021  3 Ag 2.75-2.96
Cl: 0.7391 0.7391 0.6979  3 Ag 2.75-2.96
Cl: 0.7515 0.2319 0.6990  1 Cd 2.68, 2 Ag 2.80-3.00
Cl: 0.7681 0.2485 0.3010  1 Cd 2.68, 2 Ag 2.80-3.00
Cl: 0.7796 0.7796 0.3111  1 Cd 2.73, 2 Ag 2.82

5.
KMg2Pt | GGA-PBE | relaxed

Calculated values
* energy above the most stable polymorph in this dataset: 0.263 eV per atom
* formation energy: -50 meV/atom

Cell: 9.1784 9.1784 9.1784 Å, 141.77 141.77 55.17°
With the nearest neighbours (Å) after each atom.
Element x y z (fractional)
K: 0.3750 0.6250 0.7500  8 Mg 3.93, 4 Pt 4.25
K: 0.6250 0.3750 0.2500  8 Mg 3.93, 4 Pt 4.25
Mg: 0.0000 0.0000 0.0000  2 Pt 2.53
Mg: 0.0000 0.0000 0.5000  2 Pt 2.53
Mg: 0.0000 0.5000 0.0000  2 Pt 2.53
Mg: 0.5000 0.0000 0.5000  2 Pt 2.53
Pt: 0.1250 0.8750 0.2500  4 Mg 2.53
Pt: 0.8750 0.1250 0.7500  4 Mg 2.53

6.
BaMoCl | GGA-PBE | relaxed

Calculated values
* energy relative to the elements, uncorrected: -632 meV/atom
* energy above the most stable polymorph in this dataset: 0.001 eV per atom

Cell: 4.2845 4.2845 12.9623 Å, 100.04 100.04 59.93°
With the nearest neighbours (Å) after each atom.
Element x y z (fractional)
Ba: 0.0000 0.0000 0.0000  3 Cl 3.02
Ba: 0.1600 0.1600 0.4546  3 Cl 3.02
Mo: 0.4135 0.4135 0.2272  3 Mo 2.47
Mo: 0.7468 0.7468 0.2272  3 Mo 2.47
Cl: 0.2853 0.2853 0.8639  3 Ba 3.02
Cl: 0.5409 0.5409 0.5906  3 Ba 3.02

7.
Rb12S3Cl5 | GGA-PBE | relaxed

Calculated values
* energy relative to the elements, uncorrected: -1314 meV/atom

Cell: 16.7560 16.7560 16.7560 Å, 109.47 109.47 109.47°
With the nearest neighbours (Å) after each atom.
Element x y z (fractional)
Rb: 0.0546 0.2269 0.1385  2 Cl 3.10-3.33
Rb: 0.0546 0.3277 0.9160  2 Cl 3.10-3.33
Rb: 0.0840 0.6385 0.4116  2 Cl 3.10-3.33
Rb: 0.0840 0.9454 0.6723  2 Cl 3.10-3.33
Rb: 0.0884 0.7269 0.6723  2 Cl 3.10-3.33
Rb: 0.0884 0.8615 0.4160  2 Cl 3.10-3.33
Rb: 0.1385 0.0546 0.2269  2 Cl 3.10-3.33
Rb: 0.1385 0.5840 0.9116  2 Cl 3.10-3.33
Rb: 0.1723 0.2269 0.5884  2 Cl 3.10-3.33
Rb: 0.1723 0.4454 0.5840  2 Cl 3.10-3.33
Rb: 0.2269 0.1385 0.0546  2 Cl 3.10-3.33
Rb: 0.2269 0.5884 0.1723  2 Cl 3.10-3.33
Rb: 0.2731 0.3277 0.9116  2 Cl 3.10-3.33
Rb: 0.2731 0.4454 0.3615  2 Cl 3.10-3.33
Rb: 0.3277 0.9116 0.2731  2 Cl 3.10-3.33
Rb: 0.3277 0.9160 0.0546  2 Cl 3.10-3.33
Rb: 0.3615 0.2731 0.4454  2 Cl 3.10-3.33
Rb: 0.3615 0.5884 0.9160  2 Cl 3.10-3.33
Rb: 0.4116 0.0840 0.6385  2 Cl 3.10-3.33
Rb: 0.4116 0.8277 0.7731  2 Cl 3.10-3.33
Rb: 0.4160 0.0884 0.8615  2 Cl 3.10-3.33
Rb: 0.4160 0.8277 0.5546  2 Cl 3.10-3.33
Rb: 0.4454 0.3615 0.2731  2 Cl 3.10-3.33
Rb: 0.4454 0.5840 0.1723  2 Cl 3.10-3.33
Rb: 0.5546 0.4160 0.8277  2 Cl 3.10-3.33
Rb: 0.5546 0.6385 0.7269  2 Cl 3.10-3.33
Rb: 0.5840 0.1723 0.4454  2 Cl 3.10-3.33
Rb: 0.5840 0.9116 0.1385  2 Cl 3.10-3.33
Rb: 0.5884 0.1723 0.2269  2 Cl 3.10-3.33
Rb: 0.5884 0.9160 0.3615  2 Cl 3.10-3.33
Rb: 0.6385 0.4116 0.0840  2 Cl 3.10-3.33
Rb: 0.6385 0.7269 0.5546  2 Cl 3.10-3.33
Rb: 0.6723 0.0840 0.9454  2 Cl 3.10-3.33
Rb: 0.6723 0.0884 0.7269  2 Cl 3.10-3.33
Rb: 0.7269 0.5546 0.6385  2 Cl 3.10-3.33
Rb: 0.7269 0.6723 0.0884  2 Cl 3.10-3.33
Rb: 0.7731 0.4116 0.8277  2 Cl 3.10-3.33
Rb: 0.7731 0.8615 0.9454  2 Cl 3.10-3.33
Rb: 0.8277 0.5546 0.4160  2 Cl 3.10-3.33
Rb: 0.8277 0.7731 0.4116  2 Cl 3.10-3.33
Rb: 0.8615 0.4160 0.0884  2 Cl 3.10-3.33
Rb: 0.8615 0.9454 0.7731  2 Cl 3.10-3.33
Rb: 0.9116 0.1385 0.5840  2 Cl 3.10-3.33
Rb: 0.9116 0.2731 0.3277  2 Cl 3.10-3.33
Rb: 0.9160 0.0546 0.3277  2 Cl 3.10-3.33
Rb: 0.9160 0.3615 0.5884  2 Cl 3.10-3.33
Rb: 0.9454 0.6723 0.0840  2 Cl 3.10-3.33
Rb: 0.9454 0.7731 0.8615  2 Cl 3.10-3.33
S: 0.1250 0.2500 0.3750  8 Rb 3.52-3.58
S: 0.1250 0.3750 0.7500  8 Rb 3.52-3.58
S: 0.2500 0.3750 0.1250  8 Rb 3.52-3.58
S: 0.2500 0.8750 0.6250  8 Rb 3.52-3.58
S: 0.3750 0.1250 0.2500  8 Rb 3.52-3.58
S: 0.3750 0.7500 0.1250  8 Rb 3.52-3.58
S: 0.6250 0.2500 0.8750  8 Rb 3.52-3.58
S: 0.6250 0.8750 0.7500  8 Rb 3.52-3.58
S: 0.7500 0.1250 0.3750  8 Rb 3.52-3.58
S: 0.7500 0.6250 0.8750  8 Rb 3.52-3.58
S: 0.8750 0.6250 0.2500  8 Rb 3.52-3.58
S: 0.8750 0.7500 0.6250  8 Rb 3.52-3.58
Cl: 0.0000 0.0000 0.0000  6 Rb 3.33
Cl: 0.0000 0.0000 0.5000  6 Rb 3.33
Cl: 0.0000 0.5000 0.0000  6 Rb 3.33
Cl: 0.0000 0.5000 0.5000  6 Rb 3.33
Cl: 0.1250 0.7500 0.8750  4 Rb 3.10
Cl: 0.1250 0.8750 0.2500  4 Rb 3.10
Cl: 0.2500 0.1250 0.8750  4 Rb 3.10
Cl: 0.2500 0.6250 0.3750  4 Rb 3.10
Cl: 0.3750 0.2500 0.6250  4 Rb 3.10
Cl: 0.3750 0.6250 0.7500  4 Rb 3.10
Cl: 0.5000 0.0000 0.0000  6 Rb 3.33
Cl: 0.5000 0.0000 0.5000  6 Rb 3.33
Cl: 0.5000 0.5000 0.0000  6 Rb 3.33
Cl: 0.5000 0.5000 0.5000  6 Rb 3.33
Cl: 0.6250 0.3750 0.2500  4 Rb 3.10
Cl: 0.6250 0.7500 0.3750  4 Rb 3.10
Cl: 0.7500 0.3750 0.6250  4 Rb 3.10
Cl: 0.7500 0.8750 0.1250  4 Rb 3.10
Cl: 0.8750 0.1250 0.7500  4 Rb 3.10
Cl: 0.8750 0.2500 0.1250  4 Rb 3.10

8.
CdAg2Br6 | GGA-PBE | relaxed

Calculated values
* energy relative to the elements, uncorrected: -393 meV/atom
* energy above the most stable polymorph in this dataset: 0.000 eV per atom

Cell: 6.9511 7.0668 12.5266 Å, 90.00 112.17 90.00°
With the nearest neighbours (Å) after each atom.
Element x y z (fractional)
Cd: 0.0000 0.0000 0.0000  4 Br 2.71-2.72
Cd: 0.0000 0.5000 0.5000  4 Br 2.71-2.72
Ag: 0.3536 0.1231 0.8395  4 Br 2.60-2.65
Ag: 0.3536 0.3769 0.3395  4 Br 2.60-2.65
Ag: 0.6464 0.6231 0.6605  4 Br 2.60-2.65
Ag: 0.6464 0.8769 0.1605  4 Br 2.60-2.65
Br: 0.0923 0.1887 0.4023  1 Ag 2.60, 1 Cd 2.71
Br: 0.0923 0.3113 0.9023  1 Ag 2.60, 1 Cd 2.71
Br: 0.2734 0.6881 0.4303  1 Ag 2.63, 1 Cd 2.72
Br: 0.2734 0.8119 0.9303  1 Ag 2.63, 1 Cd 2.72
Br: 0.3892 0.0695 0.2309  2 Ag 2.62-2.65
Br: 0.3892 0.4305 0.7309  2 Ag 2.62-2.65
Br: 0.6108 0.5695 0.2691  2 Ag 2.62-2.65
Br: 0.6108 0.9305 0.7691  2 Ag 2.62-2.65
Br: 0.7266 0.1881 0.0697  1 Ag 2.63, 1 Cd 2.72
Br: 0.7266 0.3119 0.5697  1 Ag 2.63, 1 Cd 2.72
Br: 0.9077 0.6887 0.0977  1 Ag 2.60, 1 Cd 2.71
Br: 0.9077 0.8113 0.5977  1 Ag 2.60, 1 Cd 2.71